A relaxed SrGa2NiHg crystal. Source: Alexandria via LeMat-Bulk, functional GGA-PBE.

Results
DOS at the Fermi energy: 3.2 states/eV per cell
ΔE_f: -0.295 eV per atom
calculated total energy: -3.059 eV/atom
energy above the lowest structure with this stoichiometry: 0 meV per atom
space group: P4/mmm (123)
total moment: 0.000 μB/atom

a = 4.6893 Å, b = 4.6893 Å, c = 5.1117 Å
α = 90.00°, β = 90.00°, γ = 90.00°
Atoms (fractional coordinates):
Hg  0.0000  0.0000  0.5000
Ga  0.5000  0.0000  0.0000
Ga  0.0000  0.5000  0.0000
Sr  0.5000  0.5000  0.5000
Ni  0.0000  0.0000  0.0000


A relaxed CdSb2Rh crystal. Source: Alexandria via LeMat-Bulk, functional GGA-PBE.

Results
DOS at the Fermi energy: 1.9 states/eV per cell
calculated total energy: -4.015 eV/atom
space group: Cmmm (65)
total moment: 0.000 μB/atom
E_form (uncorrected): 112.4 meV per atom

a = 5.0171 Å, b = 5.0171 Å, c = 3.5531 Å
α = 90.00°, β = 90.00°, γ = 105.47°
Atoms (fractional coordinates):
Sb  0.0000  0.5000  0.0000
Sb  0.5000  0.0000  0.0000
Rh  0.5000  0.5000  0.5000
Cd  0.0000  0.0000  0.5000